[1]
The following is a GGA-PBE calculation of a relaxed structure of AlPH8C2Cl4, from Alexandria.

The structure in CIF format:
```
data_AlPH8C2Cl4
_space_group_name_H-M_alt 'P 1 21/c 1'
_space_group_IT_number 14
_cell_length_a 14.9861
_cell_length_b 11.7121
_cell_length_c 12.9924
_cell_angle_alpha 90.00
_cell_angle_beta 90.52
_cell_angle_gamma 90.00
loop_
_space_group_symop_operation_xyz
'x,y,z'
'-x,-y,-z'
'-x,y+1/2,-z+1/2'
'x,-y+1/2,z+1/2'
loop_
_atom_site_label
_atom_site_fract_x
_atom_site_fract_y
_atom_site_fract_z
_atom_site_occupancy
Al1 0.1252 0.2323 0.4602 1
Al2 0.3737 0.7464 0.5791 1
P1 0.1479 0.6347 0.8428 1
P2 0.3986 0.1411 0.6490 1
H1 0.0398 0.5877 0.7128 1
H2 0.0515 0.7033 0.3456 1
H3 0.1063 0.5768 0.9243 1
H4 0.1275 0.0169 0.2218 1
H5 0.1475 0.6182 0.6603 1
H6 0.1484 0.6840 0.4265 1
H7 0.1578 0.6710 0.2894 1
H8 0.2402 0.6178 0.8554 1
H9 0.2888 0.1069 0.7779 1
H10 0.3072 0.1930 0.1359 1
H11 0.3554 0.0785 0.5706 1
H12 0.3762 0.0019 0.7811 1
H13 0.3960 0.1426 0.8317 1
H14 0.4032 0.1847 0.0539 1
H15 0.4154 0.1617 0.1896 1
H16 0.4903 0.1188 0.6397 1
C1 0.1120 0.5747 0.7225 1
C2 0.1239 0.7158 0.3521 1
C3 0.3611 0.0930 0.7721 1
C4 0.3790 0.2095 0.1300 1
Cl1 0.0056 0.1483 0.4062 1
Cl2 0.1264 0.0918 0.9118 1
Cl3 0.1300 0.2268 0.6267 1
Cl4 0.2407 0.1447 0.3997 1
Cl5 0.2555 0.6519 0.1030 1
Cl6 0.3743 0.6010 0.6809 1
Cl7 0.3756 0.6903 0.4211 1
Cl8 0.4914 0.6502 0.1085 1
```

Summary:
Calculated total energy (eV/cell): -578.79

***

[2]
The following is a GGA-PBE calculation of a relaxed structure of YMg2ZnPd4, from Alexandria.

The structure in CIF format:
```
data_YMg2ZnPd4
_space_group_name_H-M_alt 'R -3 m'
_space_group_IT_number 166
_space_group_name_Hall '-R 3 2"'
_cell_length_a 4.5640
_cell_length_b 4.5640
_cell_length_c 23.0058
_cell_angle_alpha 90.00
_cell_angle_beta 90.00
_cell_angle_gamma 120.00
loop_
_atom_site_label
_atom_site_fract_x
_atom_site_fract_y
_atom_site_fract_z
_atom_site_occupancy
Y1 0.0000 0.0000 0.0000 1
Mg1 0.0000 0.0000 0.2439 1
Zn1 0.0000 0.0000 0.5000 1
Pd1 0.0000 0.0000 0.1273 1
Pd2 0.0000 0.0000 0.3873 1
```

Summary:
Formation energy from the elements (meV per atom): -700
Calculated total energy (eV/cell): -111.90

***

[3]
The following is a GGA-PBE calculation of a relaxed structure of Hf2ScRe, from Alexandria.

The structure in CIF format:
```
data_Hf2ScRe
_space_group_name_H-M_alt 'P 4/m m m'
_space_group_IT_number 123
_space_group_name_Hall '-P 4 2'
_cell_length_a 3.3087
_cell_length_b 3.3087
_cell_length_c 7.5642
_cell_angle_alpha 90.00
_cell_angle_beta 90.00
_cell_angle_gamma 90.00
loop_
_atom_site_label
_atom_site_fract_x
_atom_site_fract_y
_atom_site_fract_z
_atom_site_occupancy
Hf1 0.0000 0.0000 0.2061 1
Sc1 0.5000 0.5000 0.5000 1
Re1 0.5000 0.5000 0.0000 1
```

Summary:
Formation energy from the elements (meV per atom): -107
Calculated total energy (eV/cell): -39.11